# GGA-PBE Nd3Ga2BIr3, optimized geometry
# ΔE_f ... -0.466 eV/atom
# Mass density ... 11.14 g/cm³
# Magnetic moment ... 0.0 μB/f.u.
data_Nd3Ga2BIr3
_chemical_formula_sum 'Nd3 Ga2 B1 Ir3'
_cell_length_a 7.319
_cell_length_b 7.319
_cell_length_c 3.727
_cell_angle_alpha 90.00
_cell_angle_beta 90.00
_cell_angle_gamma 120.00
_space_group_name_H-M_alt 'P 1'
_space_group_IT_number 1
loop_
_space_group_symop_operation_xyz
'x,y,z'
loop_
_atom_site_label
_atom_site_type_symbol
_atom_site_fract_x
_atom_site_fract_y
_atom_site_fract_z
Nd1 Nd 0.000 0.380 0.000
Nd2 Nd 0.380 0.000 0.000
Nd3 Nd 0.620 0.620 0.000
Ga1 Ga 0.333 0.667 0.500
Ga2 Ga 0.667 0.333 0.500
B1 B 0.000 0.000 0.000
Ir1 Ir 0.000 0.782 0.500
Ir2 Ir 0.218 0.218 0.500
Ir3 Ir 0.782 0.000 0.500